<A>
Density functional theory data (PBE) for a relaxed Mg2Ga2Pb crystal.

Cell and atoms, written as CIF:
```
data_Mg2Ga2Pb
_space_group_name_H-M_alt 'P 4/m b m'
_space_group_IT_number 127
_space_group_name_Hall '-P 4 2ab'
_cell_length_a 8.221
_cell_length_b 8.221
_cell_length_c 3.258
_cell_angle_alpha 90.00
_cell_angle_beta 90.00
_cell_angle_gamma 90.00
loop_
_atom_site_label
_atom_site_type_symbol
_atom_site_fract_x
_atom_site_fract_y
_atom_site_fract_z
Mg1 Mg 0.178 0.322 0.000
Ga1 Ga 0.118 0.618 0.500
Pb1 Pb 0.000 0.000 0.500
```

---

<B>
Density functional theory data (PBE) for a relaxed Mg2Ga2Pb crystal.

Cell and atoms, written as CIF:
```
data_Mg2Ga2Pb
_space_group_name_H-M_alt 'I 4/m m m'
_space_group_IT_number 139
_space_group_name_Hall '-I 4 2'
_cell_length_a 3.712
_cell_length_b 3.712
_cell_length_c 16.971
_cell_angle_alpha 90.00
_cell_angle_beta 90.00
_cell_angle_gamma 90.00
loop_
_atom_site_label
_atom_site_type_symbol
_atom_site_fract_x
_atom_site_fract_y
_atom_site_fract_z
Mg1 Mg 0.000 0.000 0.113
Ga1 Ga 0.000 0.500 0.250
Pb1 Pb 0.000 0.000 0.500
```

---

<C>
Density functional theory data (PBE) for a relaxed Mg2Ga2Pb crystal.

Cell and atoms, written as CIF:
```
data_Mg2Ga2Pb
_space_group_name_H-M_alt 'P 4/m b m'
_space_group_IT_number 127
_space_group_name_Hall '-P 4 2ab'
_cell_length_a 8.461
_cell_length_b 8.461
_cell_length_c 3.149
_cell_angle_alpha 90.00
_cell_angle_beta 90.00
_cell_angle_gamma 90.00
loop_
_atom_site_label
_atom_site_type_symbol
_atom_site_fract_x
_atom_site_fract_y
_atom_site_fract_z
Mg1 Mg 0.129 0.371 0.000
Ga1 Ga 0.170 0.670 0.500
Pb1 Pb 0.000 0.000 0.000
```

---

<A> takes first place; second place is 42 meV per atom up.